1.
## LiEu2Ag (PBE)

Data for a geometry-optimized LiEu2Ag structure.

Cell and atoms, written as POSCAR:
```
LiEu2Ag
1.0
5.476 0.000 0.000
2.738 4.742 0.000
2.738 1.581 4.471
Li Ag Eu
1 1 2
Direct
0.000 0.000 0.000
0.500 0.500 0.500
0.750 0.750 0.750
0.250 0.250 0.250
```

Values from the calculation:
DOS at the Fermi energy, states/eV/cell: 13.54
Energy of formation, eV per atom: -0.12
Energy relative to the lowest polymorph listed for this composition, eV/atom: 0.0028
Uncorrected energy, eV/atom: -6.451

2.
## LiEu2Ag (PBE)

Data for a geometry-optimized LiEu2Ag structure.

Cell and atoms, written as POSCAR:
```
LiEu2Ag
1.0
3.900 0.000 0.000
0.000 3.900 0.000
0.000 0.000 7.856
Li Ag Eu
1 1 2
Direct
0.500 0.500 0.500
0.500 0.500 0.000
0.000 0.000 0.767
0.000 0.000 0.233
```

Values from the calculation:
DOS at the Fermi energy, states/eV/cell: 15.20
Energy of formation, eV per atom: -0.13
Energy relative to the lowest polymorph listed for this composition, eV/atom: 0.0000
Uncorrected energy, eV/atom: -6.454

3.
## Li3EuAg (PBE)

Data for a geometry-optimized Li3EuAg structure.

Cell and atoms, written as POSCAR:
```
Li3EuAg
1.0
5.048 0.000 0.000
0.000 5.048 0.000
0.000 0.000 5.048
Li Eu Ag
3 1 1
Direct
0.000 0.000 0.500
0.000 0.500 0.000
0.500 0.000 0.000
0.500 0.500 0.500
0.000 0.000 0.000
```

Values from the calculation:
DOS at the Fermi energy, states/eV/cell: 13.97
Energy of formation, eV per atom: 0.03
Uncorrected energy, eV/atom: -3.748

4.
## LiEu2Ag (PBE)

Data for a geometry-optimized LiEu2Ag structure.

Cell and atoms, written as POSCAR:
```
LiEu2Ag
1.0
-1.270 0.759 3.177
0.964 -1.910 2.775
8.942 6.903 3.857
Eu Ag Li
2 1 1
Direct
0.086 0.086 0.742
0.914 0.914 0.258
0.000 0.000 0.000
0.500 0.500 0.500
```

Values from the calculation:
DOS at the Fermi energy, states/eV/cell: 2.77
Energy of formation, eV per atom: 0.30
Energy relative to the lowest polymorph listed for this composition, eV/atom: 0.4295
Uncorrected energy, eV/atom: -6.024

5.
## LiEuLuAg (PBE)

Data for a geometry-optimized LiEuLuAg structure.

Cell and atoms, written as POSCAR:
```
LiEuLuAg
1.0
5.236 0.000 0.000
2.618 4.535 0.000
2.618 1.512 4.275
Ag Li Eu Lu
1 1 1 1
Direct
0.000 0.000 0.000
0.500 0.500 0.500
0.750 0.750 0.750
0.250 0.250 0.250
```

Values from the calculation:
DOS at the Fermi energy, states/eV/cell: 8.61
Energy of formation, eV per atom: -0.07
Uncorrected energy, eV/atom: -4.956

6.
## LiEuAgPb (PBE)

Data for a geometry-optimized LiEuAgPb structure.

Cell and atoms, written as POSCAR:
```
LiEuAgPb
1.0
5.098 0.000 0.000
2.549 4.415 0.000
2.549 1.472 4.163
Eu Pb Li Ag
1 1 1 1
Direct
0.000 0.000 0.000
0.500 0.500 0.500
0.750 0.750 0.750
0.250 0.250 0.250
```

Values from the calculation:
DOS at the Fermi energy, states/eV/cell: 12.78
Energy of formation, eV per atom: -0.34
Uncorrected energy, eV/atom: -5.029

7.
## LiPmEuAg (PBE)

Data for a geometry-optimized LiPmEuAg structure.

Cell and atoms, written as POSCAR:
```
LiPmEuAg
1.0
5.363 0.000 0.000
2.681 4.644 0.000
2.681 1.548 4.379
Li Ag Pm Eu
1 1 1 1
Direct
0.750 0.750 0.750
0.250 0.250 0.250
0.500 0.500 0.500
0.000 0.000 0.000
```

Values from the calculation:
DOS at the Fermi energy, states/eV/cell: 8.32
Energy of formation, eV per atom: -0.07
Uncorrected energy, eV/atom: -5.022

8.
## LiEuAgSb (PBE)

Data for a geometry-optimized LiEuAgSb structure.

Cell and atoms, written as POSCAR:
```
LiEuAgSb
1.0
-1.410 -4.371 2.369
-2.598 -3.629 -2.606
2.310 -4.460 -1.217
Li Ag Eu Sb
1 1 1 1
Direct
0.250 0.250 0.250
0.000 0.000 0.000
0.750 0.750 0.750
0.500 0.500 0.500
```

Values from the calculation:
DOS at the Fermi energy, states/eV/cell: 11.01
ΔE_f (raw), eV per atom: -0.525
Uncorrected energy, eV/atom: -5.315